ErBeRu | PBE | optimized geometry

a b c (Å): 4.118 6.974 6.814
angles (deg): 90.00 90.00 90.00
Sites, in units of the cell vectors:
Er 0.250 0.803 0.496
Er 0.750 0.303 0.004
Er 0.250 0.697 0.996
Er 0.750 0.197 0.504
Be 0.750 0.908 0.187
Be 0.750 0.592 0.687
Be 0.250 0.092 0.813
Be 0.250 0.408 0.313
Ru 0.750 0.574 0.329
Ru 0.750 0.926 0.829
Ru 0.250 0.074 0.171
Ru 0.250 0.426 0.671

The space group is Pnma. Its energy above the most stable polymorph in this dataset is 0.000 eV per atom. For the energy, the calculation gives -0.4551 Ry per atom. For the density of states at the Fermi level, the calculation gives 0.70 states/eV per atom.